1.
Below is a relaxed structure of Li2GaHg6, with properties calculated at the PBE level.

Summary:
Raw total energy in eV per cell: -39.5
E above lowest polymorph in eV per atom: 0.000
D(E_F) in states/eV per atom: 0.400
Energy of formation from the pure elements in meV/atom: -134

Cell: 13.807 11.056 5.363 Å, 90.00 99.36 90.00°
Space group C2/c (No. 15)
Symmetry-distinct sites (fractional):
1 Li 0.166 0.126 0.080
2 Ga 0.000 0.371 0.250
3 Hg 0.052 0.127 0.521
4 Hg 0.115 0.370 0.830
5 Hg 0.229 0.380 0.375

2.
Below is a relaxed structure of AlRe4Pt, with properties calculated at the PBE level.

Summary:
Raw total energy in eV per cell: -228.3
D(E_F) in states/eV per atom: 0.565
Energy of formation from the pure elements in meV/atom: 418

Cell: 7.304 7.304 7.304 Å, 90.00 90.00 90.00°
Space group F-43m (No. 216)
Symmetry-distinct sites (fractional):
1 Al 0.000 0.000 0.000
2 Re 0.124 0.124 0.376
3 Pt 0.250 0.250 0.750

3.
Below is a relaxed structure of Ba3Al3Au8, with properties calculated at the PBE level.

Summary:
Raw total energy in eV per cell: -102.2
D(E_F) in states/eV per atom: 0.435
Energy of formation from the pure elements in meV/atom: -565

Cell: 17.932 4.731 9.389 Å, 90.00 118.74 90.00°
Space group C2/m (No. 12)
Symmetry-distinct sites (fractional):
1 Ba 0.000 0.000 0.000
2 Ba 0.209 0.500 0.664
3 Al 0.000 0.000 0.500
4 Al 0.144 0.500 0.972
5 Au 0.017 0.500 0.675
6 Au 0.107 0.000 0.393
7 Au 0.132 0.500 0.234
8 Au 0.189 0.000 0.932

4.
Below is a relaxed structure of CsSrZrNi2, with properties calculated at the PBE level.

Summary:
Raw total energy in eV per cell: -14.5
D(E_F) in states/eV per atom: 1.071
Energy of formation from the pure elements in meV/atom: 1629

Cell: 5.037 5.037 5.311 Å, 90.00 90.00 90.00°
Space group P4/mmm (No. 123)
Symmetry-distinct sites (fractional):
1 Cs 0.000 0.000 0.000
2 Sr 0.500 0.500 0.500
3 Zr 0.000 0.000 0.500
4 Ni 0.000 0.500 0.000

Q: Look up the raw total energy of the first one.
A: -39.5 eV per cell

Q: What is the formula in the first record?
A: Li2GaHg6

Q: What is the energy of formation from the pure elements in the fourth record?
A: 1629 meV/atom